Record 1
Computed, not measured: Pr3IrO7 at its PBEsol-relaxed geometry at the SCAN level of DFT.

a b c (Å): 6.629 6.629 7.531
angles (deg): 90.00 90.00 67.96
Positions (direct):
Pr1 0.000 0.000 0.000
Pr2 0.000 0.000 0.500
Pr3 0.089 0.469 0.750
Pr4 0.469 0.089 0.250
Pr5 0.531 0.911 0.750
Pr6 0.911 0.531 0.250
Ir1 0.500 0.500 0.000
Ir2 0.500 0.500 0.500
O1 0.103 0.159 0.250
O2 0.159 0.103 0.750
O3 0.188 0.560 0.041
O4 0.188 0.560 0.459
O5 0.412 0.588 0.750
O6 0.440 0.812 0.041
O7 0.440 0.812 0.459
O8 0.560 0.188 0.541
O9 0.560 0.188 0.959
O10 0.588 0.412 0.250
O11 0.812 0.440 0.541
O12 0.812 0.440 0.959
O13 0.841 0.897 0.250
O14 0.897 0.841 0.750

Output
Formation energy (no corrections), eV/atom: -2.81

Record 2
Computed, not measured: Zn3AsPb at its PBEsol-relaxed geometry at the SCAN level of DFT.

a b c (Å): 4.841 4.841 4.841
angles (deg): 90.00 90.00 90.00
Positions (direct):
Zn1 0.000 0.000 0.500
Zn2 0.000 0.500 0.000
Zn3 0.500 0.000 0.000
As1 0.000 0.000 0.000
Pb1 0.500 0.500 0.500

Output
E_form, meV/atom: 425

Record 3
Computed, not measured: Zn7Mo at its PBEsol-relaxed geometry at the SCAN level of DFT.

a b c (Å): 5.421 5.421 5.421
angles (deg): 60.00 60.00 60.00
Positions (direct):
Zn1 0.000 0.000 0.000
Zn2 0.000 0.000 0.500
Zn3 0.000 0.500 0.000
Zn4 0.000 0.500 0.500
Zn5 0.500 0.000 0.000
Zn6 0.500 0.000 0.500
Zn7 0.500 0.500 0.000
Mo1 0.500 0.500 0.500

Output
E_form, meV/atom: -13

| no. | mass density (g/cm3) |
| --- | --- |
| 1 | 7.869 |
| 2 | 7.000 |
| 3 | 8.163 |